# 1
Material: Rb2ZnRuF6
Method: DFT, GGA-PBE
State: optimized geometry

Unit cell a=5.9659 b=5.9659 c=5.9659 alpha=60.00 beta=60.00 gamma=60.00
Sites, in units of the cell vectors:
1 Rb 0.2500 0.2500 0.2500
2 Rb 0.7500 0.7500 0.7500
3 Zn 0.0000 0.0000 0.0000
4 Ru 0.5000 0.5000 0.5000
5 F 0.2454 0.2454 0.7546
6 F 0.2454 0.7546 0.2454
7 F 0.2454 0.7546 0.7546
8 F 0.7546 0.2454 0.2454
9 F 0.7546 0.2454 0.7546
10 F 0.7546 0.7546 0.2454

## Properties
Uncorrected energy: -4.490 eV/atom
Space-group type: Fm-3m, No. 225

---

# 2
Material: CaDy2ScSe4
Method: DFT, GGA-PBE
State: optimized geometry

Unit cell a=7.0189 b=4.0360 c=7.0271 alpha=90.00 beta=109.16 gamma=90.00
Sites, in units of the cell vectors:
1 Ca 0.0000 0.0000 0.0000
2 Dy 0.0000 0.5000 0.5000
3 Dy 0.5000 0.0000 0.5000
4 Sc 0.5000 0.5000 0.0000
5 Se 0.2558 0.5000 0.2468
6 Se 0.2593 0.0000 0.7591
7 Se 0.7407 0.0000 0.2409
8 Se 0.7442 0.5000 0.7532

## Properties
Uncorrected energy: -5.686 eV/atom
Space-group type: P2/m, No. 10

---

| no. | N(E_F) (states/eV/f.u.) | total magnetization (μB/cell) |
| --- | --- | --- |
| 1 | 0.00 | 0.00 |
| 2 | 3.41 | 0.00 |